# 1
VASP calculation (PBE) on crystalline Pa2NbGa3 at its relaxed geometry.

Cell lengths 5.417, 5.417, 5.619 Å; angles 118.88, 118.88, 59.84 degrees
Atoms (fractional coordinates):
Pa  0.138  0.138  0.415
Pa  0.862  0.862  0.585
Nb  0.500  0.500  0.500
Ga  0.000  0.500  0.000
Ga  0.500  0.000  0.000
Ga  0.500  0.500  0.000

Computed properties:
V	19.72	A^3/atom
DOS(E_F)	6.61	states/eV/cell
energy of formation	-0.32	eV/atom
space group	C2/m (12)



# 2
VASP calculation (PBE) on crystalline CdInOs2 at its relaxed geometry.

Cell lengths 4.940, 4.940, 5.260 Å; angles 102.76, 102.76, 34.14 degrees
Atoms (fractional coordinates):
Cd  0.000  0.000  0.000
In  0.500  0.500  0.500
Os  0.243  0.243  0.784
Os  0.757  0.757  0.216

Computed properties:
V	17.52	A^3/atom
DOS(E_F)	3.05	states/eV/cell
energy of formation	0.65	eV/atom
space group	C2/m (12)



# 3
VASP calculation (PBE) on crystalline Cr3GeAu at its relaxed geometry.

Cell lengths 4.705, 4.705, 4.705 Å; angles 90.00, 90.00, 90.00 degrees
Atoms (fractional coordinates):
Cr  0.000  0.000  0.500
Cr  0.000  0.500  0.000
Cr  0.500  0.000  0.000
Ge  0.000  0.000  0.000
Au  0.500  0.500  0.500

Computed properties:
V	20.83	A^3/atom
DOS(E_F)	4.51	states/eV/cell
energy of formation	0.95	eV/atom
space group	Pm-3m (221)



# 4
VASP calculation (PBE) on crystalline Na3Ti3CrSe8 at its relaxed geometry.

Cell lengths 8.321, 8.321, 8.321 Å; angles 52.67, 52.67, 52.67 degrees
Atoms (fractional coordinates):
Na  0.000  0.500  0.500
Na  0.500  0.000  0.500
Na  0.500  0.500  0.000
Ti  0.000  0.000  0.500
Ti  0.000  0.500  0.000
Ti  0.500  0.000  0.000
Cr  0.500  0.500  0.500
Se  0.237  0.237  0.237
Se  0.238  0.734  0.734
Se  0.266  0.266  0.762
Se  0.266  0.762  0.266
Se  0.734  0.238  0.734
Se  0.734  0.734  0.238
Se  0.762  0.266  0.266
Se  0.763  0.763  0.763

Computed properties:
formation energy without anion corrections	-1.07	eV per atom
V	22.48	A^3/atom
DOS(E_F)	7.47	states/eV/cell
space group	R-3m (166)